The following is a DFT calculation (PBE) of a relaxed PrEu2Ni crystal.

The structure in POSCAR format:
```
PrEu2Ni
1.0
-0.144 0.754 -3.501
1.444 -3.194 -0.747
-8.446 -3.712 -0.452
Eu Pr Ni
2 1 1
Cartesian
-1.534 -0.674 -0.082
-6.912 -3.038 -0.370
-3.573 -3.076 -2.350
0.650 -1.220 -2.124
```

Computed properties:
E above lowest polymorph, meV/atom: 0.0
Density of states at the Fermi level, states/eV/f.u.: 14.40
Theoretical density, g cm⁻³: 7.0
Symmetry: P4/mmm